# 1
Computed, not measured: a relaxed Na4La3ErTe8 crystal at the PBE level of DFT.

Cell lengths 9.202, 9.202, 9.202 Å; angles 59.82, 59.82, 59.82 degrees
Atoms (fractional coordinates):
Na: 0.000 0.000 0.000
Na: 0.000 0.500 0.500
Na: 0.500 0.000 0.500
Na: 0.500 0.500 0.000
La: 0.000 0.000 0.500
La: 0.000 0.500 0.000
La: 0.500 0.000 0.000
Er: 0.500 0.500 0.500
Te: 0.248 0.248 0.248
Te: 0.257 0.740 0.740
Te: 0.260 0.260 0.743
Te: 0.260 0.743 0.260
Te: 0.740 0.257 0.740
Te: 0.740 0.740 0.257
Te: 0.743 0.260 0.260
Te: 0.752 0.752 0.752

**Formation energy from raw total energies**: -1.3752 eV per atom
**Total DFT energy (no corrections)**: -4.48 eV/atom

***

# 2
Computed, not measured: a relaxed LiSc2Zn crystal at the PBE level of DFT.

Cell lengths 3.366, 3.393, 7.020 Å; angles 90.00, 90.00, 90.00 degrees
Atoms (fractional coordinates):
Li: 0.000 0.000 0.000
Sc: 0.500 0.500 0.269
Sc: 0.500 0.500 0.731
Zn: 0.000 0.000 0.500

**E_form**: -0.098 eV/atom
**Total DFT energy (no corrections)**: -4.06 eV/atom

***

# 3
Computed, not measured: a relaxed KMg3Se crystal at the PBE level of DFT.

Cell lengths 5.479, 5.479, 5.479 Å; angles 90.00, 90.00, 90.00 degrees
Atoms (fractional coordinates):
K: 0.000 0.000 0.000
Mg: 0.000 0.500 0.500
Mg: 0.500 0.000 0.500
Mg: 0.500 0.500 0.000
Se: 0.500 0.500 0.500

**Formation energy from raw total energies**: 0.0452 eV per atom
**Energy relative to the lowest polymorph listed for this composition**: 0.00 eV per formula unit
**Total DFT energy (no corrections)**: -1.83 eV/atom

***

# 4
Computed, not measured: a relaxed CaTb2Y crystal at the PBE level of DFT.

Cell lengths 12.256, 12.256, 12.256 Å; angles 16.93, 16.93, 16.93 degrees
Atoms (fractional coordinates):
Ca: 0.000 0.000 0.000
Tb: 0.245 0.245 0.245
Tb: 0.755 0.755 0.755
Y: 0.500 0.500 0.500

**E_form**: 0.062 eV/atom
**Energy relative to the lowest polymorph listed for this composition**: 0.01 eV per formula unit
**Total DFT energy (no corrections)**: -4.37 eV/atom

***

# 5
Computed, not measured: a relaxed Pr3Tm6Mg crystal at the PBE level of DFT.

Cell lengths 11.005, 5.075, 11.234 Å; angles 90.00, 91.53, 90.00 degrees
Atoms (fractional coordinates):
Pr: 0.051 0.250 0.402
Pr: 0.155 0.750 0.205
Pr: 0.254 0.250 0.005
Pr: 0.746 0.750 0.995
Pr: 0.845 0.250 0.795
Pr: 0.949 0.750 0.598
Tm: 0.053 0.750 0.898
Tm: 0.158 0.250 0.701
Tm: 0.264 0.750 0.505
Tm: 0.349 0.750 0.808
Tm: 0.362 0.250 0.311
Tm: 0.454 0.750 0.104
Tm: 0.546 0.250 0.896
Tm: 0.638 0.750 0.689
Tm: 0.651 0.250 0.192
Tm: 0.736 0.250 0.495
Tm: 0.842 0.750 0.299
Tm: 0.947 0.250 0.102
Mg: 0.447 0.250 0.605
Mg: 0.553 0.750 0.395

**E_form**: 0.034 eV/atom
**Total DFT energy (no corrections)**: -4.24 eV/atom

***

# 6
Computed, not measured: a relaxed BeFe2Br crystal at the PBE level of DFT.

Cell lengths 3.057, 4.108, 4.310 Å; angles 90.00, 90.00, 90.00 degrees
Atoms (fractional coordinates):
Be: 0.000 0.000 0.000
Fe: 0.000 0.500 0.500
Fe: 0.500 0.500 0.000
Br: 0.500 0.000 0.500

**Formation energy from raw total energies**: 0.7308 eV per atom
**Energy relative to the lowest polymorph listed for this composition**: 1.88 eV per formula unit
**Total DFT energy (no corrections)**: -4.85 eV/atom